Record 1
VASP calculation (meta-GGA SCAN) on a crystal of CuOsF2 relaxed with PBEsol.

## Properties
Raw formation energy in meV/atom: -705
Relative energy among the computed polymorphs in meV per atom: 0

Unit cell a=2.6456 b=2.6456 c=22.0797 alpha=90.00 beta=90.00 gamma=120.00
With the nearest neighbours (Å) after each atom.
Space group R-3m (No. 166, hexagonal axes)
Unique sites:
Cu 0.0000 0.0000 0.0000 x3  6 F 2.27
Os 0.0000 0.0000 0.5000 x3  2 F 2.00
F 0.0000 0.0000 0.4092 x6  1 Os 2.00

=====

Record 2
VASP calculation (meta-GGA SCAN) on a crystal of ScIn2Au relaxed with PBEsol.

## Properties
Energy relative to the elements in eV/atom: -0.461

Unit cell a=3.6190 b=3.6190 c=6.3876 alpha=90.00 beta=90.00 gamma=90.00
With the nearest neighbours (Å) after each atom.
Space group P4mm (No. 99)
Unique sites:
Sc 0.0000 0.0000 0.0000 x1  4 Au 2.90, 5 In 2.98-3.06
In 0.0000 0.0000 0.4664 x1  1 Sc 2.98, 4 Au 3.02, 4 In 3.09
In 0.5000 0.5000 0.7385 x1  2 Au 3.04-3.35, 4 Sc 3.06, 4 In 3.09
Au 0.5000 0.5000 0.2145 x1  4 Sc 2.90, 5 In 3.02-3.04

=====

Record 3
VASP calculation (meta-GGA SCAN) on a crystal of Ca3HgN relaxed with PBEsol.

## Properties
Raw formation energy in meV/atom: -844

Unit cell a=4.8436 b=4.8436 c=4.8436 alpha=90.00 beta=90.00 gamma=90.00
With the nearest neighbours (Å) after each atom.
Space group Pm-3m (No. 221)
Unique sites:
Ca 0.0000 0.0000 0.5000 x3  2 N 2.42
Hg 0.5000 0.5000 0.5000 x1  12 Ca 3.42
N 0.0000 0.0000 0.0000 x1  6 Ca 2.42

=====

Record 4
VASP calculation (meta-GGA SCAN) on a crystal of ScTlCd2 relaxed with PBEsol.

## Properties
Relative energy among the computed polymorphs in meV per atom: 14
Energy relative to the elements in eV/atom: -0.185

Unit cell a=11.0405 b=3.4132 c=4.9701 alpha=90.00 beta=108.47 gamma=90.00
With the nearest neighbours (Å) after each atom.
Space group C2/m (No. 12)
Unique sites:
Sc 0.0000 0.0000 0.0000 x2  4 Tl 3.01, 4 Cd 3.08
Tl 0.0000 0.5000 0.5000 x2  4 Sc 3.01, 6 Cd 3.21-3.31
Cd 0.2426 0.5000 0.2423 x4  4 Cd 3.00-3.04, 2 Sc 3.08, 3 Tl 3.21-3.31

=====

Number 1: M_tot 0.0 μB/f.u.. Number 2: M_tot 0.0 μB/f.u.. Number 3: M_tot 0.0 μB/f.u.. Number 4: M_tot 0.0 μB/f.u..